# Tc2Te GGA-PBE optimized geometry
# raw formation energy	129	kJ/mol of formula units
# electronic total energy	-22.534	eV for the cell shown
# offset from the most stable computed form	452.1	meV per atom
data_Tc2Te
_cell_length_a 4.4043
_cell_length_b 4.4043
_cell_length_c 3.0179
_cell_angle_alpha 90.00
_cell_angle_beta 90.00
_cell_angle_gamma 120.00
_space_group_name_H-M_alt 'P -3 m 1'
_space_group_IT_number 164
_space_group_name_Hall '-P 3 2"'
loop_
_atom_site_label
_atom_site_type_symbol
_atom_site_fract_x
_atom_site_fract_y
_atom_site_fract_z
_atom_site_occupancy
Tc1 Tc 0.3333 0.6667 0.2397 1
Te1 Te 0.0000 0.0000 0.5000 1


# Tc4Te GGA-PBE optimized geometry
# raw formation energy	1011	kJ/mol of formula units
# electronic total energy	-34.124	eV for the cell shown
# offset from the most stable computed form	489.1	meV per atom
data_Tc4Te
_cell_length_a 4.7661
_cell_length_b 4.7661
_cell_length_c 4.7661
_cell_angle_alpha 90.00
_cell_angle_beta 90.00
_cell_angle_gamma 90.00
_space_group_name_H-M_alt 'P m -3 m'
_space_group_IT_number 221
_space_group_name_Hall '-P 4 2 3'
loop_
_atom_site_label
_atom_site_type_symbol
_atom_site_fract_x
_atom_site_fract_y
_atom_site_fract_z
_atom_site_occupancy
Tc1 Tc 0.0000 0.0000 0.0000 1
Tc2 Tc 0.0000 0.5000 0.5000 1
Te1 Te 0.5000 0.5000 0.5000 1


# Th4Tc2Te GGA-PBE optimized geometry
# raw formation energy	-116	kJ/mol of formula units
# electronic total energy	-438.025	eV for the cell shown
# offset from the most stable computed form	233.8	meV per atom
data_Th4Tc2Te
_cell_length_a 12.4075
_cell_length_b 12.4141
_cell_length_c 12.4237
_cell_angle_alpha 90.00
_cell_angle_beta 90.00
_cell_angle_gamma 90.00
_space_group_name_H-M_alt 'F d d d'
_space_group_IT_number 70
loop_
_space_group_symop_operation_xyz
'x,y,z'
'-x,-y,-z'
'-x+1/4,-y+1/4,z'
'x+1/4,y+1/4,-z'
'x,-y+1/4,-z+1/4'
'-x,y+1/4,z+1/4'
'-x+1/4,y,-z+1/4'
'x+1/4,-y,z+1/4'
'x,y+1/2,z+1/2'
'-x,-y+1/2,-z+1/2'
'-x+1/4,-y+3/4,z+1/2'
'x+1/4,y+3/4,-z+1/2'
'x,-y+3/4,-z+3/4'
'-x,y+3/4,z+3/4'
'-x+1/4,y+1/2,-z+3/4'
'x+1/4,-y+1/2,z+3/4'
'x+1/2,y,z+1/2'
'-x+1/2,-y,-z+1/2'
'-x+3/4,-y+1/4,z+1/2'
'x+3/4,y+1/4,-z+1/2'
'x+1/2,-y+1/4,-z+3/4'
'-x+1/2,y+1/4,z+3/4'
'-x+3/4,y,-z+3/4'
'x+3/4,-y,z+3/4'
'x+1/2,y+1/2,z'
'-x+1/2,-y+1/2,-z'
'-x+3/4,-y+3/4,z'
'x+3/4,y+3/4,-z'
'x+1/2,-y+3/4,-z+1/4'
'-x+1/2,y+3/4,z+1/4'
'-x+3/4,y+1/2,-z+1/4'
'x+3/4,-y+1/2,z+1/4'
loop_
_atom_site_label
_atom_site_type_symbol
_atom_site_fract_x
_atom_site_fract_y
_atom_site_fract_z
_atom_site_occupancy
Th1 Th 0.0198 0.0196 0.2302 1
Tc1 Tc 0.0000 0.0000 0.0000 1
Te1 Te 0.1250 0.1250 0.6250 1


# Th3TcTe GGA-PBE optimized geometry
# raw formation energy	-157	kJ/mol of formula units
# electronic total energy	-74.789	eV for the cell shown
# offset from the most stable computed form	164.9	meV per atom
data_Th3TcTe
_cell_length_a 8.7440
_cell_length_b 4.2366
_cell_length_c 8.7513
_cell_angle_alpha 90.00
_cell_angle_beta 115.45
_cell_angle_gamma 90.00
_space_group_name_H-M_alt 'P 1 21/m 1'
_space_group_IT_number 11
_space_group_name_Hall '-P 2yb'
loop_
_atom_site_label
_atom_site_type_symbol
_atom_site_fract_x
_atom_site_fract_y
_atom_site_fract_z
_atom_site_occupancy
Th1 Th 0.0817 0.2500 0.4185 1
Th2 Th 0.1981 0.2500 0.9115 1
Th3 Th 0.4134 0.7500 0.6981 1
Tc1 Tc 0.4283 0.7500 0.0702 1
Te1 Te 0.2443 0.7500 0.2559 1


# Th3TcTe GGA-PBE optimized geometry
# raw formation energy	-237	kJ/mol of formula units
# electronic total energy	-152.876	eV for the cell shown
# offset from the most stable computed form	0.0	meV per atom
data_Th3TcTe
_cell_length_a 9.0849
_cell_length_b 4.1708
_cell_length_c 15.3285
_cell_angle_alpha 90.00
_cell_angle_beta 90.00
_cell_angle_gamma 90.00
_space_group_name_H-M_alt 'P n m a'
_space_group_IT_number 62
_space_group_name_Hall '-P 2ac 2n'
loop_
_atom_site_label
_atom_site_type_symbol
_atom_site_fract_x
_atom_site_fract_y
_atom_site_fract_z
_atom_site_occupancy
Th1 Th 0.0258 0.2500 0.1075 1
Th2 Th 0.1568 0.2500 0.5032 1
Th3 Th 0.1888 0.7500 0.2789 1
Tc1 Tc 0.1774 0.2500 0.9329 1
Te1 Te 0.0898 0.7500 0.6742 1


# Th4TcTe3 GGA-PBE optimized geometry
# raw formation energy	-671	kJ/mol of formula units
# electronic total energy	-112.843	eV for the cell shown
data_Th4TcTe3
_cell_length_a 7.9333
_cell_length_b 8.9740
_cell_length_c 7.4788
_cell_angle_alpha 90.00
_cell_angle_beta 109.10
_cell_angle_gamma 90.00
_space_group_name_H-M_alt 'P 1 2/c 1'
_space_group_IT_number 13
_space_group_name_Hall '-P 2yc'
loop_
_atom_site_label
_atom_site_type_symbol
_atom_site_fract_x
_atom_site_fract_y
_atom_site_fract_z
_atom_site_occupancy
Th1 Th 0.2064 0.1079 0.0099 1
Th2 Th 0.2224 0.3453 0.4712 1
Tc1 Tc 0.0000 0.1198 0.2500 1
Te1 Te 0.0000 0.3783 0.7500 1
Te2 Te 0.5000 0.1254 0.7500 1
Te3 Te 0.5000 0.3855 0.2500 1


# Th4TcTe GGA-PBE optimized geometry
# raw formation energy	-257	kJ/mol of formula units
# electronic total energy	-183.421	eV for the cell shown
# offset from the most stable computed form	0.0	meV per atom
data_Th4TcTe
_cell_length_a 8.7266
_cell_length_b 3.9181
_cell_length_c 19.9716
_cell_angle_alpha 90.00
_cell_angle_beta 90.00
_cell_angle_gamma 90.00
_space_group_name_H-M_alt 'P n m a'
_space_group_IT_number 62
_space_group_name_Hall '-P 2ac 2n'
loop_
_atom_site_label
_atom_site_type_symbol
_atom_site_fract_x
_atom_site_fract_y
_atom_site_fract_z
_atom_site_occupancy
Th1 Th 0.0154 0.2500 0.0677 1
Th2 Th 0.0535 0.7500 0.2201 1
Th3 Th 0.1169 0.7500 0.6472 1
Th4 Th 0.1507 0.7500 0.4517 1
Tc1 Tc 0.2342 0.2500 0.5595 1
Te1 Te 0.2396 0.7500 0.8128 1


# Th4TcTe2 GGA-PBE optimized geometry
# raw formation energy	-362	kJ/mol of formula units
# electronic total energy	-200.333	eV for the cell shown
data_Th4TcTe2
_cell_length_a 3.8762
_cell_length_b 15.1571
_cell_length_c 15.0831
_cell_angle_alpha 90.00
_cell_angle_beta 90.00
_cell_angle_gamma 90.00
_space_group_name_H-M_alt 'C m c m'
_space_group_IT_number 63
_space_group_name_Hall '-C 2c 2'
loop_
_atom_site_label
_atom_site_type_symbol
_atom_site_fract_x
_atom_site_fract_y
_atom_site_fract_z
_atom_site_occupancy
Th1 Th 0.0000 0.0000 0.0000 1
Th2 Th 0.0000 0.3205 0.1285 1
Th3 Th 0.0000 0.4669 0.7500 1
Tc1 Tc 0.0000 0.0993 0.7500 1
Te1 Te 0.0000 0.3473 0.5797 1


# Th2TcTe GGA-PBE optimized geometry
# raw formation energy	-198	kJ/mol of formula units
# electronic total energy	-30.402	eV for the cell shown
# offset from the most stable computed form	69.9	meV per atom
data_Th2TcTe
_cell_length_a 3.5946
_cell_length_b 3.5946
_cell_length_c 8.0336
_cell_angle_alpha 90.00
_cell_angle_beta 90.00
_cell_angle_gamma 90.00
_space_group_name_H-M_alt 'P 4/m m m'
_space_group_IT_number 123
_space_group_name_Hall '-P 4 2'
loop_
_atom_site_label
_atom_site_type_symbol
_atom_site_fract_x
_atom_site_fract_y
_atom_site_fract_z
_atom_site_occupancy
Th1 Th 0.0000 0.0000 0.2202 1
Tc1 Tc 0.5000 0.5000 0.0000 1
Te1 Te 0.5000 0.5000 0.5000 1


# Th4TcTe5 GGA-PBE optimized geometry
# raw formation energy	-889	kJ/mol of formula units
# electronic total energy	-129.939	eV for the cell shown
data_Th4TcTe5
_cell_length_a 19.0193
_cell_length_b 4.3634
_cell_length_c 8.8650
_cell_angle_alpha 90.00
_cell_angle_beta 103.82
_cell_angle_gamma 90.00
_space_group_name_H-M_alt 'C 1 2/m 1'
_space_group_IT_number 12
_space_group_name_Hall '-C 2y'
loop_
_atom_site_label
_atom_site_type_symbol
_atom_site_fract_x
_atom_site_fract_y
_atom_site_fract_z
_atom_site_occupancy
Th1 Th 0.0008 0.0000 0.2309 1
Th2 Th 0.1501 0.5000 0.0793 1
Tc1 Tc 0.0000 0.5000 0.0000 1
Te1 Te 0.0000 0.5000 0.5000 1
Te2 Te 0.1697 0.0000 0.3392 1
Te3 Te 0.1721 0.0000 0.8293 1


# Th2TcTe GGA-PBE optimized geometry
# raw formation energy	-225	kJ/mol of formula units
# electronic total energy	-92.044	eV for the cell shown
# offset from the most stable computed form	0.0	meV per atom
data_Th2TcTe
_cell_length_a 4.2050
_cell_length_b 4.2050
_cell_length_c 22.8278
_cell_angle_alpha 90.00
_cell_angle_beta 90.00
_cell_angle_gamma 120.00
_space_group_name_H-M_alt 'R -3 m'
_space_group_IT_number 166
_space_group_name_Hall '-R 3 2"'
loop_
_atom_site_label
_atom_site_type_symbol
_atom_site_fract_x
_atom_site_fract_y
_atom_site_fract_z
_atom_site_occupancy
Th1 Th 0.0000 0.0000 0.2333 1
Tc1 Tc 0.0000 0.0000 0.5000 1
Te1 Te 0.0000 0.0000 0.0000 1


# Th4TcTe GGA-PBE optimized geometry
# raw formation energy	-146	kJ/mol of formula units
# electronic total energy	-178.819	eV for the cell shown
# offset from the most stable computed form	191.8	meV per atom
data_Th4TcTe
_cell_length_a 16.0541
_cell_length_b 6.7439
_cell_length_c 7.1848
_cell_angle_alpha 90.00
_cell_angle_beta 107.14
_cell_angle_gamma 90.00
_space_group_name_H-M_alt 'C 1 2/c 1'
_space_group_IT_number 15
_space_group_name_Hall '-C 2yc'
loop_
_atom_site_label
_atom_site_type_symbol
_atom_site_fract_x
_atom_site_fract_y
_atom_site_fract_z
_atom_site_occupancy
Th1 Th 0.0908 0.0847 0.4721 1
Th2 Th 0.1781 0.4097 0.1325 1
Tc1 Tc 0.2500 0.2500 0.5000 1
Te1 Te 0.0000 0.3610 0.7500 1


Question: What is the formula in the fourth record?
Answer: Th3TcTe